No. 1
# Ca2TbCd4, optimized geometry, DFT GGA-PBE
# Magnetization ... 0.0 Bohr magnetons per cell
# E_form ... -0.18 eV per atom
data_Ca2TbCd4
_symmetry_space_group_name_H-M 'I 4/m m m'
_symmetry_Int_Tables_number 139
_symmetry_space_group_name_Hall '-I 4 2'
_cell_length_a 5.4860
_cell_length_b 5.4860
_cell_length_c 13.7037
_cell_angle_alpha 90.00
_cell_angle_beta 90.00
_cell_angle_gamma 90.00
loop_
_atom_site_label
_atom_site_type_symbol
_atom_site_fract_x
_atom_site_fract_y
_atom_site_fract_z
_atom_site_occupancy
Ca1 Ca 0.0000 0.0000 0.2380 1
Tb1 Tb 0.0000 0.0000 0.5000 1
Cd1 Cd 0.0000 0.5000 0.1136 1

No. 2
# Li2B2F, optimized geometry, DFT GGA-PBE
# Excess energy over the best structure of this formula in the dataset ... 493.7 meV per atom
# Formation energy without anion corrections ... -0.144 eV per atom
# Magnetization ... 0.0 Bohr magnetons per cell
data_Li2B2F
_symmetry_space_group_name_H-M 'P 4/m b m'
_symmetry_Int_Tables_number 127
_symmetry_space_group_name_Hall '-P 4 2ab'
_cell_length_a 4.8381
_cell_length_b 4.8381
_cell_length_c 4.5334
_cell_angle_alpha 90.00
_cell_angle_beta 90.00
_cell_angle_gamma 90.00
loop_
_atom_site_label
_atom_site_type_symbol
_atom_site_fract_x
_atom_site_fract_y
_atom_site_fract_z
_atom_site_occupancy
Li1 Li 0.1777 0.3223 0.0000 1
B1 B 0.1154 0.6154 0.5000 1
F1 F 0.0000 0.0000 0.0000 1

No. 3
# Co2Ni7Pd, optimized geometry, DFT GGA-PBE
# Magnetization ... 17.8 Bohr magnetons per cell
# E_form ... 0.63 eV per atom
data_Co2Ni7Pd
_symmetry_space_group_name_H-M 'C m m m'
_symmetry_Int_Tables_number 65
_symmetry_space_group_name_Hall '-C 2 2'
_cell_length_a 6.3234
_cell_length_b 12.0478
_cell_length_c 3.7818
_cell_angle_alpha 90.00
_cell_angle_beta 90.00
_cell_angle_gamma 90.00
loop_
_atom_site_label
_atom_site_type_symbol
_atom_site_fract_x
_atom_site_fract_y
_atom_site_fract_z
_atom_site_occupancy
Co1 Co 0.0000 0.1994 0.0000 1
Ni1 Ni 0.0000 0.0000 0.0000 1
Ni2 Ni 0.0000 0.2966 0.5000 1
Ni3 Ni 0.1874 0.3907 0.0000 1
Pd1 Pd 0.0000 0.5000 0.5000 1

No. 4
# PuZr2Ag, optimized geometry, DFT GGA-PBE
# Excess energy over the best structure of this formula in the dataset ... 6.6 meV per atom
# Magnetization ... 5.3 Bohr magnetons per cell
# E_form ... 0.05 eV per atom
data_PuZr2Ag
_symmetry_space_group_name_H-M 'P 4/m m m'
_symmetry_Int_Tables_number 123
_symmetry_space_group_name_Hall '-P 4 2'
_cell_length_a 5.1412
_cell_length_b 5.1412
_cell_length_c 3.2434
_cell_angle_alpha 90.00
_cell_angle_beta 90.00
_cell_angle_gamma 90.00
loop_
_atom_site_label
_atom_site_type_symbol
_atom_site_fract_x
_atom_site_fract_y
_atom_site_fract_z
_atom_site_occupancy
Pu1 Pu 0.0000 0.0000 0.0000 1
Zr1 Zr 0.0000 0.5000 0.5000 1
Ag1 Ag 0.5000 0.5000 0.0000 1

No. 5
# TeRu2Br, optimized geometry, DFT GGA-PBE
# Excess energy over the best structure of this formula in the dataset ... 446.4 meV per atom
# Formation energy without anion corrections ... 0.823 eV per atom
# Magnetization ... 0.0 Bohr magnetons per cell
data_TeRu2Br
_symmetry_space_group_name_H-M 'C m m m'
_symmetry_Int_Tables_number 65
_symmetry_space_group_name_Hall '-C 2 2'
_cell_length_a 3.3190
_cell_length_b 5.7659
_cell_length_c 8.2029
_cell_angle_alpha 90.00
_cell_angle_beta 90.00
_cell_angle_gamma 90.00
loop_
_atom_site_label
_atom_site_type_symbol
_atom_site_fract_x
_atom_site_fract_y
_atom_site_fract_z
_atom_site_occupancy
Te1 Te 0.0000 0.0000 0.0000 1
Ru1 Ru 0.0000 0.5000 0.2343 1
Br1 Br 0.0000 0.0000 0.5000 1

No. 6
# Li3YBi2S6, optimized geometry, DFT GGA-PBE
# Formation energy without anion corrections ... -1.109 eV per atom
# Magnetization ... 0.0 Bohr magnetons per cell
data_Li3YBi2S6
_symmetry_space_group_name_H-M 'C 1 2/m 1'
_symmetry_Int_Tables_number 12
_symmetry_space_group_name_Hall '-C 2y'
_cell_length_a 6.8666
_cell_length_b 11.9127
_cell_length_c 6.6764
_cell_angle_alpha 90.00
_cell_angle_beta 110.03
_cell_angle_gamma 90.00
loop_
_atom_site_label
_atom_site_type_symbol
_atom_site_fract_x
_atom_site_fract_y
_atom_site_fract_z
_atom_site_occupancy
Li1 Li 0.0000 0.0000 0.0000 1
Li2 Li 0.0000 0.3243 0.0000 1
Y1 Y 0.0000 0.5000 0.5000 1
Bi1 Bi 0.0000 0.1657 0.5000 1
S1 S 0.2410 0.5000 0.2429 1
S2 S 0.2491 0.3371 0.7584 1

No. 7
# Pm3NdSm4, optimized geometry, DFT GGA-PBE
# Excess energy over the best structure of this formula in the dataset ... 125.0 meV per atom
# Magnetization ... 0.0 Bohr magnetons per cell
# E_form ... 0.16 eV per atom
data_Pm3NdSm4
_symmetry_space_group_name_H-M 'C 1 2/m 1'
_symmetry_Int_Tables_number 12
_symmetry_space_group_name_Hall '-C 2y'
_cell_length_a 23.8214
_cell_length_b 3.5091
_cell_length_c 6.9188
_cell_angle_alpha 90.00
_cell_angle_beta 106.88
_cell_angle_gamma 90.00
loop_
_atom_site_label
_atom_site_type_symbol
_atom_site_fract_x
_atom_site_fract_y
_atom_site_fract_z
_atom_site_occupancy
Pm1 Pm 0.0000 0.0000 0.0000 1
Pm2 Pm 0.1254 0.0000 0.8681 1
Nd1 Nd 0.0000 0.5000 0.5000 1
Sm1 Sm 0.1252 0.0000 0.3821 1
Sm2 Sm 0.2413 0.5000 0.7399 1

No. 8
# Tb5PmDy2Tm, optimized geometry, DFT GGA-PBE
# Magnetization ... 0.0 Bohr magnetons per cell
# E_form ... 0.15 eV per atom
data_Tb5PmDy2Tm
_symmetry_space_group_name_H-M 'C m c 21'
_symmetry_Int_Tables_number 36
_symmetry_space_group_name_Hall 'C 2c -2'
_cell_length_a 5.5904
_cell_length_b 19.9601
_cell_length_c 10.6060
_cell_angle_alpha 90.00
_cell_angle_beta 90.00
_cell_angle_gamma 90.00
loop_
_atom_site_label
_atom_site_type_symbol
_atom_site_fract_x
_atom_site_fract_y
_atom_site_fract_z
_atom_site_occupancy
Tb1 Tb 0.0000 0.0172 0.0000 1
Tb2 Tb 0.0000 0.2816 0.2818 1
Tb3 Tb 0.0000 0.3004 0.6823 1
Tb4 Tb 0.0000 0.3927 0.9992 1
Tb5 Tb 0.0000 0.4794 0.7149 1
Pm1 Pm 0.0000 0.2009 0.9861 1
Dy1 Dy 0.0000 0.1093 0.7128 1
Dy2 Dy 0.0000 0.1143 0.2939 1
Tm1 Tm 0.0000 0.4124 0.4331 1

No. 9
# PmPu4Pd5, optimized geometry, DFT GGA-PBE
# Magnetization ... 0.0 Bohr magnetons per cell
# E_form ... 0.12 eV per atom
data_PmPu4Pd5
_symmetry_space_group_name_H-M 'P 4/m m m'
_symmetry_Int_Tables_number 123
_symmetry_space_group_name_Hall '-P 4 2'
_cell_length_a 3.7571
_cell_length_b 3.7571
_cell_length_c 14.8352
_cell_angle_alpha 90.00
_cell_angle_beta 90.00
_cell_angle_gamma 90.00
loop_
_atom_site_label
_atom_site_type_symbol
_atom_site_fract_x
_atom_site_fract_y
_atom_site_fract_z
_atom_site_occupancy
Pm1 Pm 0.0000 0.0000 0.0000 1
Pu1 Pu 0.0000 0.0000 0.2324 1
Pu2 Pu 0.0000 0.0000 0.3831 1
Pd1 Pd 0.5000 0.5000 0.1137 1
Pd2 Pd 0.5000 0.5000 0.3074 1
Pd3 Pd 0.5000 0.5000 0.5000 1

No. 10
# BeCu2Ru2, optimized geometry, DFT GGA-PBE
# Magnetization ... 0.0 Bohr magnetons per cell
# E_form ... 0.40 eV per atom
data_BeCu2Ru2
_symmetry_space_group_name_H-M 'P 4/m b m'
_symmetry_Int_Tables_number 127
_symmetry_space_group_name_Hall '-P 4 2ab'
_cell_length_a 5.7650
_cell_length_b 5.7650
_cell_length_c 4.0103
_cell_angle_alpha 90.00
_cell_angle_beta 90.00
_cell_angle_gamma 90.00
loop_
_atom_site_label
_atom_site_type_symbol
_atom_site_fract_x
_atom_site_fract_y
_atom_site_fract_z
_atom_site_occupancy
Be1 Be 0.0000 0.0000 0.0000 1
Cu1 Cu 0.1625 0.3375 0.5000 1
Ru1 Ru 0.1467 0.6467 0.0000 1

No. 11
# BeCo3Pt, optimized geometry, DFT GGA-PBE
# Excess energy over the best structure of this formula in the dataset ... 1203.4 meV per atom
# Magnetization ... 6.3 Bohr magnetons per cell
# E_form ... 1.57 eV per atom
data_BeCo3Pt
_symmetry_space_group_name_H-M 'P m -3 m'
_symmetry_Int_Tables_number 221
_symmetry_space_group_name_Hall '-P 4 2 3'
_cell_length_a 4.5786
_cell_length_b 4.5786
_cell_length_c 4.5786
_cell_angle_alpha 90.00
_cell_angle_beta 90.00
_cell_angle_gamma 90.00
loop_
_atom_site_label
_atom_site_type_symbol
_atom_site_fract_x
_atom_site_fract_y
_atom_site_fract_z
_atom_site_occupancy
Be1 Be 0.0000 0.0000 0.0000 1
Co1 Co 0.0000 0.5000 0.5000 1
Pt1 Pt 0.5000 0.5000 0.5000 1

No. 12
# In2Fe2Re, optimized geometry, DFT GGA-PBE
# Excess energy over the best structure of this formula in the dataset ... 613.4 meV per atom
# Magnetization ... 10.3 Bohr magnetons per cell
# E_form ... 1.07 eV per atom
data_In2Fe2Re
_symmetry_space_group_name_H-M 'I 4/m m m'
_symmetry_Int_Tables_number 139
_symmetry_space_group_name_Hall '-I 4 2'
_cell_length_a 3.7746
_cell_length_b 3.7746
_cell_length_c 12.2306
_cell_angle_alpha 90.00
_cell_angle_beta 90.00
_cell_angle_gamma 90.00
loop_
_atom_site_label
_atom_site_type_symbol
_atom_site_fract_x
_atom_site_fract_y
_atom_site_fract_z
_atom_site_occupancy
In1 In 0.0000 0.5000 0.2500 1
Fe1 Fe 0.0000 0.0000 0.0873 1
Re1 Re 0.0000 0.0000 0.5000 1

No. 13
# FeCuI3, optimized geometry, DFT GGA-PBE
# Excess energy over the best structure of this formula in the dataset ... 0.0 meV per atom
# Formation energy without anion corrections ... -0.074 eV per atom
# Magnetization ... 16.0 Bohr magnetons per cell
data_FeCuI3
_symmetry_space_group_name_H-M 'C 1 2/m 1'
_symmetry_Int_Tables_number 12
_symmetry_space_group_name_Hall '-C 2y'
_cell_length_a 14.4447
_cell_length_b 4.2790
_cell_length_c 12.6217
_cell_angle_alpha 90.00
_cell_angle_beta 97.39
_cell_angle_gamma 90.00
loop_
_atom_site_label
_atom_site_type_symbol
_atom_site_fract_x
_atom_site_fract_y
_atom_site_fract_z
_atom_site_occupancy
Fe1 Fe 0.0807 0.0000 0.2819 1
Cu1 Cu 0.1899 0.5000 0.8038 1
I1 I 0.1057 0.0000 0.7362 1
I2 I 0.1300 0.5000 0.3974 1
I3 I 0.1472 0.0000 0.1003 1

No. 14
# SrTbAgBr6, optimized geometry, DFT GGA-PBE
# Formation energy without anion corrections ... -1.590 eV per atom
# Magnetization ... 0.0 Bohr magnetons per cell
data_SrTbAgBr6
_symmetry_space_group_name_H-M 'P -3 1 c'
_symmetry_Int_Tables_number 163
_symmetry_space_group_name_Hall '-P 3 2c'
_cell_length_a 7.2694
_cell_length_b 7.2694
_cell_length_c 13.5771
_cell_angle_alpha 90.00
_cell_angle_beta 90.00
_cell_angle_gamma 120.00
loop_
_atom_site_label
_atom_site_type_symbol
_atom_site_fract_x
_atom_site_fract_y
_atom_site_fract_z
_atom_site_occupancy
Sr1 Sr 0.0000 0.0000 0.0000 1
Tb1 Tb 0.3333 0.6667 0.2500 1
Ag1 Ag 0.3333 0.6667 0.7500 1
Br1 Br 0.0095 0.3550 0.1297 1

No. 15
# AcSmGe, optimized geometry, DFT GGA-PBE
# Excess energy over the best structure of this formula in the dataset ... 96.0 meV per atom
# Magnetization ... 0.0 Bohr magnetons per cell
# E_form ... -0.45 eV per atom
data_AcSmGe
_symmetry_space_group_name_H-M 'P -1'
_symmetry_Int_Tables_number 2
_symmetry_space_group_name_Hall '-P 1'
_cell_length_a 4.3251
_cell_length_b 6.4123
_cell_length_c 7.7095
_cell_angle_alpha 76.84
_cell_angle_beta 73.78
_cell_angle_gamma 70.35
loop_
_atom_site_label
_atom_site_type_symbol
_atom_site_fract_x
_atom_site_fract_y
_atom_site_fract_z
_atom_site_occupancy
Ac1 Ac 0.1748 0.2351 0.4178 1
Sm1 Sm 0.4137 0.2969 0.8751 1
Ge1 Ge 0.1155 0.9197 0.8492 1

No. 16
# AlPbW2, optimized geometry, DFT GGA-PBE
# Excess energy over the best structure of this formula in the dataset ... 281.3 meV per atom
# Magnetization ... 0.0 Bohr magnetons per cell
# E_form ... 0.66 eV per atom
data_AlPbW2
_symmetry_space_group_name_H-M 'P 1 2/m 1'
_symmetry_Int_Tables_number 10
_symmetry_space_group_name_Hall '-P 2y'
_cell_length_a 2.8872
_cell_length_b 4.2926
_cell_length_c 6.2624
_cell_angle_alpha 90.00
_cell_angle_beta 101.59
_cell_angle_gamma 90.00
loop_
_atom_site_label
_atom_site_type_symbol
_atom_site_fract_x
_atom_site_fract_y
_atom_site_fract_z
_atom_site_occupancy
Al1 Al 0.0000 0.0000 0.0000 1
Pb1 Pb 0.5000 0.0000 0.5000 1
W1 W 0.2992 0.5000 0.8062 1

No. 17
# ReAg2Se, optimized geometry, DFT GGA-PBE
# Formation energy without anion corrections ... 0.479 eV per atom
# Magnetization ... 0.0 Bohr magnetons per cell
data_ReAg2Se
_symmetry_space_group_name_H-M 'C m m 2'
_symmetry_Int_Tables_number 35
_symmetry_space_group_name_Hall 'C 2 -2'
_cell_length_a 3.0226
_cell_length_b 4.9087
_cell_length_c 10.0329
_cell_angle_alpha 90.00
_cell_angle_beta 90.00
_cell_angle_gamma 90.00
loop_
_atom_site_label
_atom_site_type_symbol
_atom_site_fract_x
_atom_site_fract_y
_atom_site_fract_z
_atom_site_occupancy
Re1 Re 0.0000 0.0000 0.0000 1
Ag1 Ag 0.0000 0.0000 0.5139 1
Ag2 Ag 0.0000 0.5000 0.7564 1
Se1 Se 0.0000 0.5000 0.1952 1

No. 18
# PmV4, optimized geometry, DFT GGA-PBE
# Magnetization ... 1.3 Bohr magnetons per cell
# E_form ... 2.08 eV per atom
data_PmV4
_symmetry_space_group_name_H-M 'P m -3 m'
_symmetry_Int_Tables_number 221
_symmetry_space_group_name_Hall '-P 4 2 3'
_cell_length_a 4.7001
_cell_length_b 4.7001
_cell_length_c 4.7001
_cell_angle_alpha 90.00
_cell_angle_beta 90.00
_cell_angle_gamma 90.00
loop_
_atom_site_label
_atom_site_type_symbol
_atom_site_fract_x
_atom_site_fract_y
_atom_site_fract_z
_atom_site_occupancy
Pm1 Pm 0.0000 0.0000 0.0000 1
V1 V 0.0000 0.0000 0.5000 1
V2 V 0.5000 0.5000 0.5000 1

No. 19
# BaCd3Pb, optimized geometry, DFT GGA-PBE
# Excess energy over the best structure of this formula in the dataset ... 373.7 meV per atom
# Magnetization ... 0.0 Bohr magnetons per cell
# E_form ... 0.06 eV per atom
data_BaCd3Pb
_symmetry_space_group_name_H-M 'P m -3 m'
_symmetry_Int_Tables_number 221
_symmetry_space_group_name_Hall '-P 4 2 3'
_cell_length_a 5.7923
_cell_length_b 5.7923
_cell_length_c 5.7923
_cell_angle_alpha 90.00
_cell_angle_beta 90.00
_cell_angle_gamma 90.00
loop_
_atom_site_label
_atom_site_type_symbol
_atom_site_fract_x
_atom_site_fract_y
_atom_site_fract_z
_atom_site_occupancy
Ba1 Ba 0.0000 0.0000 0.0000 1
Cd1 Cd 0.0000 0.5000 0.5000 1
Pb1 Pb 0.5000 0.5000 0.5000 1

No. 20
# Ce3NpU2N6, optimized geometry, DFT GGA-PBE
# Formation energy without anion corrections ... -1.401 eV per atom
# Magnetization ... 10.5 Bohr magnetons per cell
data_Ce3NpU2N6
_symmetry_space_group_name_H-M 'C 1 2/m 1'
_symmetry_Int_Tables_number 12
_symmetry_space_group_name_Hall '-C 2y'
_cell_length_a 6.0504
_cell_length_b 10.4745
_cell_length_c 6.0851
_cell_angle_alpha 90.00
_cell_angle_beta 109.35
_cell_angle_gamma 90.00
loop_
_atom_site_label
_atom_site_type_symbol
_atom_site_fract_x
_atom_site_fract_y
_atom_site_fract_z
_atom_site_occupancy
Ce1 Ce 0.0000 0.0000 0.0000 1
Ce2 Ce 0.0000 0.3346 0.0000 1
Np1 Np 0.0000 0.5000 0.5000 1
U1 U 0.0000 0.1669 0.5000 1
N1 N 0.2324 0.0000 0.7213 1
N2 N 0.2449 0.3294 0.7225 1